Below is a relaxed structure of AsPt, with properties calculated at the PBE level.

Cell and atoms, written as CIF:
```
data_AsPt
_space_group_name_H-M_alt 'P 1'
_space_group_IT_number 1
_cell_length_a 2.8897
_cell_length_b 2.8897
_cell_length_c 4.6667
_cell_angle_alpha 90.00
_cell_angle_beta 90.00
_cell_angle_gamma 120.16
loop_
_space_group_symop_operation_xyz
'x,y,z'
loop_
_atom_site_label
_atom_site_type_symbol
_atom_site_fract_x
_atom_site_fract_y
_atom_site_fract_z
As1 As 0.0000 0.0000 0.0000
Pt1 Pt 0.5000 0.5000 0.5000
```

For the formation energy, the calculation gives 119 meV/atom. The value obtained for the density is 13.3 g/cm3.


Below is a relaxed structure of AsPt3, with properties calculated at the PBE level.

Cell and atoms, written as CIF:
```
data_AsPt3
_space_group_name_H-M_alt 'P 1'
_space_group_IT_number 1
_cell_length_a 4.0122
_cell_length_b 4.0122
_cell_length_c 4.0122
_cell_angle_alpha 90.00
_cell_angle_beta 90.00
_cell_angle_gamma 90.00
loop_
_space_group_symop_operation_xyz
'x,y,z'
loop_
_atom_site_label
_atom_site_type_symbol
_atom_site_fract_x
_atom_site_fract_y
_atom_site_fract_z
As1 As 0.0000 0.0000 0.0000
Pt1 Pt 0.5000 0.5000 0.0000
Pt2 Pt 0.5000 0.0000 0.5000
Pt3 Pt 0.0000 0.5000 0.5000
```

For the formation energy, the calculation gives 32 meV/atom. The value obtained for the density is 17.0 g/cm3.